# 1
Computed, not measured: crystalline Ce5Pr3Bi8 at its relaxed geometry at the PBE-GGA level of DFT.

```
Ce5Pr3Bi8
1.0
7.998 -4.616 -0.021
7.998 4.616 -0.021
5.354 0.000 7.524
Ce Pr Bi
5 3 8
direct
0.500 0.500 0.000
0.500 0.000 0.500
0.000 0.000 0.000
0.000 0.500 0.500
0.500 0.500 0.500
0.500 0.000 0.000
0.000 0.500 0.000
0.000 0.000 0.500
0.750 0.253 0.750
0.750 0.750 0.253
0.253 0.750 0.750
0.252 0.252 0.252
0.250 0.747 0.250
0.250 0.250 0.747
0.747 0.250 0.250
0.748 0.748 0.748
```

Summary:
DFT formation energy in eV/atom: -0.857
Spin magnetization in μB/atom: 0.268

---

# 2
Computed, not measured: crystalline Ce3PrBi3 at its relaxed geometry at the PBE-GGA level of DFT.

```
Ce3PrBi3
1.0
5.865 0.000 0.000
0.000 9.373 0.000
0.000 -4.686 8.117
Ce Pr Bi
6 2 6
direct
0.250 0.777 0.761
0.250 0.239 0.016
0.250 0.984 0.223
0.750 0.223 0.239
0.750 0.761 0.984
0.750 0.016 0.777
0.250 0.667 0.333
0.750 0.333 0.667
0.750 0.625 0.556
0.750 0.444 0.069
0.750 0.931 0.375
0.250 0.375 0.444
0.250 0.556 0.931
0.250 0.069 0.625
```

Summary:
DFT formation energy in eV/atom: -0.496
Spin magnetization in μB/atom: 0.578

---

# 3
Computed, not measured: crystalline Ce2PrBi2 at its relaxed geometry at the PBE-GGA level of DFT.

```
Ce2PrBi2
1.0
-3.518 2.536 -0.784
-2.570 -3.579 0.100
-4.181 0.444 7.547
Ce Pr Bi
2 1 2
direct
0.269 0.731 0.500
0.731 0.269 0.500
0.000 0.000 0.000
0.389 0.389 0.200
0.611 0.611 0.800
```

Summary:
DFT formation energy in eV/atom: -0.504
Spin magnetization in μB/atom: 0.272

---

# 4
Computed, not measured: crystalline CePrBi at its relaxed geometry at the PBE-GGA level of DFT.

```
CePrBi
1.0
-1.791 -1.973 3.335
3.172 -2.857 0.014
1.993 5.410 1.538
Pr Bi Ce
1 1 1
direct
0.632 0.632 0.265
0.284 0.284 0.567
0.934 0.934 0.868
```

Summary:
DFT formation energy in eV/atom: -0.444
Spin magnetization in μB/atom: 0.393